No. 1
DFT (PBE-GGA) results for crystalline NiPRu2 at its relaxed geometry.

Calculated values
- space-group type = C2/m (12)
- M_tot (μB per cell) = 0.00
- raw total energy (eV per atom) = -7.22
- energy of formation from the pure elements (eV per formula unit) = 0.844
- density of states at the Fermi level (states/eV/cell) = 5.7

Lattice parameters (Å, degrees): 4.8467 4.8467 2.7658 104.58 104.58 114.23
Closest atoms and distances in Å follow each position.
Fractional coordinates of all 4 atoms:
Ni1 0.0000 0.0000 0.0000  4 Ru 2.47, 2 P 2.63
P1 0.5000 0.5000 0.0000  4 Ru 2.47, 2 Ni 2.63
Ru1 0.0000 0.5000 0.5000  2 Ni 2.47, 2 P 2.47, 2 Ru 2.63
Ru2 0.5000 0.0000 0.5000  2 Ni 2.47, 2 P 2.47, 2 Ru 2.63

=====

No. 2
DFT (PBE-GGA) results for crystalline ZnIrRh14 at its relaxed geometry.

Calculated values
- space-group type = Amm2 (38)
- M_tot (μB per cell) = 0.00
- raw total energy (eV per atom) = -7.09
- energy of formation from the pure elements (eV per formula unit) = -0.330
- density of states at the Fermi level (states/eV/cell) = 20.0

Lattice parameters (Å, degrees): 8.8856 5.4301 5.4301 60.03 90.00 90.00
Closest atoms and distances in Å follow each position.
Fractional coordinates of all 16 atoms:
Zn1 0.0000 0.0000 0.0000  10 Rh 2.70-2.72, 2 Ir 2.72
Ir1 0.0000 0.4992 0.4992  10 Rh 2.70-2.74, 2 Zn 2.72
Rh1 0.0000 0.0023 0.5003  2 Ir 2.70-2.74, 8 Rh 2.70-2.73, 2 Zn 2.71-2.72
Rh2 0.0000 0.5003 0.0023  2 Ir 2.70-2.74, 8 Rh 2.70-2.73, 2 Zn 2.71-2.72
Rh3 0.2478 0.3334 0.8327  1 Zn 2.70, 1 Ir 2.70, 10 Rh 2.71-2.74
Rh4 0.2481 0.3340 0.3340  1 Ir 2.70, 11 Rh 2.70-2.74
Rh5 0.2478 0.8327 0.3334  1 Zn 2.70, 1 Ir 2.70, 10 Rh 2.71-2.74
Rh6 0.2503 0.8333 0.8333  11 Rh 2.71-2.72, 1 Zn 2.72
Rh7 0.5000 0.1665 0.1665  12 Rh 2.71-2.74
Rh8 0.5000 0.1667 0.6672  12 Rh 2.71-2.73
Rh9 0.5000 0.6672 0.1667  12 Rh 2.71-2.73
Rh10 0.5000 0.6668 0.6668  12 Rh 2.71-2.74
Rh11 0.7497 0.8333 0.8333  11 Rh 2.71-2.72, 1 Zn 2.72
Rh12 0.7522 0.3334 0.8327  1 Zn 2.70, 1 Ir 2.70, 10 Rh 2.71-2.74
Rh13 0.7519 0.3340 0.3340  1 Ir 2.70, 11 Rh 2.70-2.74
Rh14 0.7522 0.8327 0.3334  1 Zn 2.70, 1 Ir 2.70, 10 Rh 2.71-2.74

=====

No. 3
DFT (PBE-GGA) results for crystalline Ba3RhAu at its relaxed geometry.

Calculated values
- excess energy over the best structure of this formula in the dataset (eV per atom) = 0.0092
- space-group type = P2_1/m (11)
- M_tot (μB per cell) = 0.00
- raw total energy (eV per atom) = -3.64
- energy of formation from the pure elements (eV per formula unit) = -1.809
- density of states at the Fermi level (states/eV/cell) = 5.6

Lattice parameters (Å, degrees): 9.2863 4.4924 9.7481 90.00 102.56 90.00
Closest atoms and distances in Å follow each position.
Fractional coordinates of all 10 atoms:
Ba1 0.0676 0.2500 0.3385  3 Rh 3.19-3.22, 2 Au 3.50
Ba2 0.2565 0.2500 0.9781  1 Rh 2.89
Ba3 0.3914 0.7500 0.6343  2 Rh 3.07
Ba4 0.6086 0.2500 0.3657  2 Rh 3.07
Ba5 0.7435 0.7500 0.0219  1 Rh 2.89
Ba6 0.9324 0.7500 0.6615  3 Rh 3.19-3.22, 2 Au 3.50
Rh1 0.1784 0.2500 0.6749  6 Ba 2.89-3.22
Rh2 0.8216 0.7500 0.3251  6 Ba 2.89-3.22
Au1 0.3251 0.7500 0.2546  7 Ba 3.45-3.62
Au2 0.6749 0.2500 0.7454  7 Ba 3.45-3.62